Record 1
VASP calculation (PBE+U) on an optimized crystal structure of In2NiBrO.

a b c (Å): 5.6332 5.6332 3.8508
angles (deg): 90.00 90.00 90.00
Space group P4/mmm (No. 123)
One atom of each set of equivalent atoms:
In (0.0000, 0.5000, 0.0000) (multiplicity 2)
Ni (0.0000, 0.0000, 0.5000) (multiplicity 1)
Br (0.5000, 0.5000, 0.0000) (multiplicity 1)
O (0.5000, 0.5000, 0.5000) (multiplicity 1)

Calculated values
VASP energy in Ha/atom: -0.074
Size of the total moment in μB per formula unit: 0.009
D(E_F) in states/eV/atom: 0.48



Record 2
VASP calculation (PBE+U) on an optimized crystal structure of PaMnPb2O6.

a b c (Å): 9.9676 5.8539 5.9485
angles (deg): 90.00 124.99 90.00
Space group C2/m (No. 12)
One atom of each set of equivalent atoms:
Pa (0.0000, 0.0000, 0.0000) (multiplicity 2)
Mn (0.0000, 0.5000, 0.5000) (multiplicity 2)
Pb (0.2451, 0.0000, 0.7197) (multiplicity 4)
O (0.0418, 0.2592, 0.3031) (multiplicity 8)
O (0.2397, 0.5000, 0.8007) (multiplicity 4)

Calculated values
VASP energy in Ha/atom: -0.270
Size of the total moment in μB per formula unit: 2.000
D(E_F) in states/eV/atom: 0.00